# 1
Compound: MnReTe2N
Source: Alexandria
Functional: meta-GGA SCAN
Structure: single point on PBEsol structure

Cell and atoms, written as CIF:
```
data_MnReTe2N
_chemical_formula_sum 'Mn1 Re1 Te2 N1'
_cell_length_a 5.0438
_cell_length_b 5.0438
_cell_length_c 3.3635
_cell_angle_alpha 90.00
_cell_angle_beta 90.00
_cell_angle_gamma 90.00
_space_group_name_H-M_alt 'P 4/m m m'
_space_group_IT_number 123
_space_group_name_Hall '-P 4 2'
loop_
_atom_site_label
_atom_site_type_symbol
_atom_site_fract_x
_atom_site_fract_y
_atom_site_fract_z
_atom_site_occupancy
Mn1 Mn 0.0000 0.0000 0.0000 1
Re1 Re 0.5000 0.5000 0.5000 1
Te1 Te 0.0000 0.5000 0.0000 1
N1 N 0.0000 0.0000 0.5000 1
```

Results
Calculated total energy, eV/f.u.: -169.1



# 2
Compound: KFe2Cu
Source: Alexandria
Functional: meta-GGA SCAN
Structure: single point on PBEsol structure

Cell and atoms, written as CIF:
```
data_KFe2Cu
_chemical_formula_sum 'K2 Fe4 Cu2'
_cell_length_a 3.7827
_cell_length_b 3.7827
_cell_length_c 8.9963
_cell_angle_alpha 90.00
_cell_angle_beta 90.00
_cell_angle_gamma 90.00
_space_group_name_H-M_alt 'I 4/m m m'
_space_group_IT_number 139
_space_group_name_Hall '-I 4 2'
loop_
_atom_site_label
_atom_site_type_symbol
_atom_site_fract_x
_atom_site_fract_y
_atom_site_fract_z
_atom_site_occupancy
K1 K 0.0000 0.0000 0.0000 1
Fe1 Fe 0.0000 0.5000 0.2500 1
Cu1 Cu 0.0000 0.0000 0.5000 1
```

Results
Offset from the most stable computed form, meV/atom: 427
ΔE_f, kJ/mol of formula units: 456



# 3
Compound: Cd2TeAu
Source: Alexandria
Functional: meta-GGA SCAN
Structure: single point on PBEsol structure

Cell and atoms, written as CIF:
```
data_Cd2TeAu
_chemical_formula_sum 'Cd2 Te1 Au1'
_cell_length_a 3.1579
_cell_length_b 3.1579
_cell_length_c 8.7862
_cell_angle_alpha 90.00
_cell_angle_beta 90.00
_cell_angle_gamma 90.00
_space_group_name_H-M_alt 'P 4 m m'
_space_group_IT_number 99
loop_
_space_group_symop_operation_xyz
'x,y,z'
'-y,x,z'
'-x,-y,z'
'y,-x,z'
'-x,y,z'
'y,x,z'
'x,-y,z'
'-y,-x,z'
loop_
_atom_site_label
_atom_site_type_symbol
_atom_site_fract_x
_atom_site_fract_y
_atom_site_fract_z
_atom_site_occupancy
Cd1 Cd 0.0000 0.0000 0.0000 1
Cd2 Cd 0.5000 0.5000 0.2384 1
Te1 Te 0.0000 0.0000 0.5374 1
Au1 Au 0.5000 0.5000 0.7955 1
```

Results
Calculated total energy, eV/f.u.: -166.9



# 4
Compound: KZrAg2
Source: Alexandria
Functional: meta-GGA SCAN
Structure: single point on PBEsol structure

Cell and atoms, written as CIF:
```
data_KZrAg2
_chemical_formula_sum 'K2 Zr2 Ag4'
_cell_length_a 2.8650
_cell_length_b 5.3690
_cell_length_c 11.6387
_cell_angle_alpha 90.00
_cell_angle_beta 90.00
_cell_angle_gamma 90.00
_space_group_name_H-M_alt 'I m m 2'
_space_group_IT_number 44
loop_
_space_group_symop_operation_xyz
'x,y,z'
'-x,-y,z'
'-x,y,z'
'x,-y,z'
'x+1/2,y+1/2,z+1/2'
'-x+1/2,-y+1/2,z+1/2'
'-x+1/2,y+1/2,z+1/2'
'x+1/2,-y+1/2,z+1/2'
loop_
_atom_site_label
_atom_site_type_symbol
_atom_site_fract_x
_atom_site_fract_y
_atom_site_fract_z
_atom_site_occupancy
K1 K 0.0000 0.0000 0.0000 1
Zr1 Zr 0.0000 0.5000 0.7988 1
Ag1 Ag 0.0000 0.0000 0.5263 1
Ag2 Ag 0.0000 0.5000 0.2348 1
```

Results
Offset from the most stable computed form, meV/atom: 222
ΔE_f, kJ/mol of formula units: 120



# 5
Compound: ScAsRuSe2
Source: Alexandria
Functional: meta-GGA SCAN
Structure: single point on PBEsol structure

Cell and atoms, written as CIF:
```
data_ScAsRuSe2
_chemical_formula_sum 'Sc1 As1 Ru1 Se2'
_cell_length_a 4.9393
_cell_length_b 4.9393
_cell_length_c 5.0007
_cell_angle_alpha 90.00
_cell_angle_beta 90.00
_cell_angle_gamma 90.00
_space_group_name_H-M_alt 'P 4/m m m'
_space_group_IT_number 123
_space_group_name_Hall '-P 4 2'
loop_
_atom_site_label
_atom_site_type_symbol
_atom_site_fract_x
_atom_site_fract_y
_atom_site_fract_z
_atom_site_occupancy
Sc1 Sc 0.0000 0.0000 0.0000 1
As1 As 0.0000 0.0000 0.5000 1
Ru1 Ru 0.5000 0.5000 0.5000 1
Se1 Se 0.0000 0.5000 0.0000 1
```

Results
Calculated total energy, eV/f.u.: -107.0



# 6
Compound: CaIn2Ir2
Source: Alexandria
Functional: meta-GGA SCAN
Structure: single point on PBEsol structure

Cell and atoms, written as CIF:
```
data_CaIn2Ir2
_chemical_formula_sum 'Ca2 In4 Ir4'
_cell_length_a 4.3783
_cell_length_b 4.3783
_cell_length_c 11.0812
_cell_angle_alpha 90.00
_cell_angle_beta 90.00
_cell_angle_gamma 90.00
_space_group_name_H-M_alt 'I 4/m m m'
_space_group_IT_number 139
_space_group_name_Hall '-I 4 2'
loop_
_atom_site_label
_atom_site_type_symbol
_atom_site_fract_x
_atom_site_fract_y
_atom_site_fract_z
_atom_site_occupancy
Ca1 Ca 0.0000 0.0000 0.0000 1
In1 In 0.0000 0.5000 0.2500 1
Ir1 Ir 0.0000 0.0000 0.3916 1
```

Results
ΔE_f, kJ/mol of formula units: -199



# 7
Compound: TaSbPb2
Source: Alexandria
Functional: meta-GGA SCAN
Structure: single point on PBEsol structure

Cell and atoms, written as CIF:
```
data_TaSbPb2
_chemical_formula_sum 'Ta3 Sb3 Pb6'
_cell_length_a 3.2261
_cell_length_b 3.2261
_cell_length_c 32.2303
_cell_angle_alpha 90.00
_cell_angle_beta 90.00
_cell_angle_gamma 120.00
_space_group_name_H-M_alt 'R -3 m'
_space_group_IT_number 166
_space_group_name_Hall '-R 3 2"'
loop_
_atom_site_label
_atom_site_type_symbol
_atom_site_fract_x
_atom_site_fract_y
_atom_site_fract_z
_atom_site_occupancy
Ta1 Ta 0.0000 0.0000 0.0000 1
Sb1 Sb 0.0000 0.0000 0.5000 1
Pb1 Pb 0.0000 0.0000 0.2573 1
```

Results
Calculated total energy, eV/f.u.: -253.6



# 8
Compound: LiNiIr2
Source: Alexandria
Functional: meta-GGA SCAN
Structure: single point on PBEsol structure

Cell and atoms, written as CIF:
```
data_LiNiIr2
_chemical_formula_sum 'Li1 Ni1 Ir2'
_cell_length_a 2.6695
_cell_length_b 4.2938
_cell_length_c 4.4754
_cell_angle_alpha 90.00
_cell_angle_beta 90.00
_cell_angle_gamma 90.00
_space_group_name_H-M_alt 'P m m m'
_space_group_IT_number 47
loop_
_space_group_symop_operation_xyz
'x,y,z'
'-x,-y,-z'
'-x,-y,z'
'x,y,-z'
'x,-y,-z'
'-x,y,z'
'-x,y,-z'
'x,-y,z'
loop_
_atom_site_label
_atom_site_type_symbol
_atom_site_fract_x
_atom_site_fract_y
_atom_site_fract_z
_atom_site_occupancy
Li1 Li 0.0000 0.0000 0.0000 1
Ni1 Ni 0.5000 0.0000 0.5000 1
Ir1 Ir 0.0000 0.5000 0.5000 1
Ir2 Ir 0.5000 0.5000 0.0000 1
```

Results
Offset from the most stable computed form, meV/atom: 96
ΔE_f, kJ/mol of formula units: -16



# 9
Compound: BaIrBr2
Source: Alexandria
Functional: meta-GGA SCAN
Structure: single point on PBEsol structure

Cell and atoms, written as CIF:
```
data_BaIrBr2
_chemical_formula_sum 'Ba1 Ir1 Br2'
_cell_length_a 4.5032
_cell_length_b 4.0896
_cell_length_c 6.1162
_cell_angle_alpha 90.00
_cell_angle_beta 109.30
_cell_angle_gamma 90.00
_space_group_name_H-M_alt 'P 1 2/m 1'
_space_group_IT_number 10
loop_
_space_group_symop_operation_xyz
'x,y,z'
'-x,-y,-z'
'-x,y,-z'
'x,-y,z'
loop_
_atom_site_label
_atom_site_type_symbol
_atom_site_fract_x
_atom_site_fract_y
_atom_site_fract_z
_atom_site_occupancy
Ba1 Ba 0.0000 0.0000 0.0000 1
Ir1 Ir 0.5000 0.0000 0.5000 1
Br1 Br 0.3812 0.5000 0.7087 1
```

Results
Offset from the most stable computed form, meV/atom: 105



# 10
Compound: Sr2AsW
Source: Alexandria
Functional: meta-GGA SCAN
Structure: single point on PBEsol structure

Cell and atoms, written as CIF:
```
data_Sr2AsW
_chemical_formula_sum 'Sr8 As4 W4'
_cell_length_a 7.2075
_cell_length_b 7.2075
_cell_length_c 7.2075
_cell_angle_alpha 90.00
_cell_angle_beta 90.00
_cell_angle_gamma 90.00
_space_group_name_H-M_alt 'F -4 3 m'
_space_group_IT_number 216
_space_group_name_Hall 'F -4 2 3'
loop_
_atom_site_label
_atom_site_type_symbol
_atom_site_fract_x
_atom_site_fract_y
_atom_site_fract_z
_atom_site_occupancy
Sr1 Sr 0.0000 0.0000 0.0000 1
Sr2 Sr 0.2500 0.2500 0.2500 1
As1 As 0.2500 0.2500 0.7500 1
W1 W 0.0000 0.0000 0.5000 1
```

Results
ΔE_f, kJ/mol of formula units: 317



# 11
Compound: SrLa2S4
Source: Alexandria
Functional: meta-GGA SCAN
Structure: single point on PBEsol structure

Cell and atoms, written as CIF:
```
data_SrLa2S4
_chemical_formula_sum 'Sr4 La8 S16'
_cell_length_a 8.6777
_cell_length_b 8.6777
_cell_length_c 8.6542
_cell_angle_alpha 90.00
_cell_angle_beta 90.00
_cell_angle_gamma 90.00
_space_group_name_H-M_alt 'I -4 2 d'
_space_group_IT_number 122
_space_group_name_Hall 'I -4 2bw'
loop_
_atom_site_label
_atom_site_type_symbol
_atom_site_fract_x
_atom_site_fract_y
_atom_site_fract_z
_atom_site_occupancy
Sr1 Sr 0.0000 0.0000 0.0000 1
La1 La 0.1293 0.7500 0.6250 1
S1 S 0.0770 0.6721 0.9452 1
```

Results
Calculated total energy, eV/f.u.: -164.5



# 12
Compound: RbAlTl2B
Source: Alexandria
Functional: meta-GGA SCAN
Structure: single point on PBEsol structure

Cell and atoms, written as CIF:
```
data_RbAlTl2B
_chemical_formula_sum 'Rb1 Al1 Tl2 B1'
_cell_length_a 6.1158
_cell_length_b 6.1158
_cell_length_c 5.9095
_cell_angle_alpha 90.00
_cell_angle_beta 90.00
_cell_angle_gamma 90.00
_space_group_name_H-M_alt 'P 4/m m m'
_space_group_IT_number 123
_space_group_name_Hall '-P 4 2'
loop_
_atom_site_label
_atom_site_type_symbol
_atom_site_fract_x
_atom_site_fract_y
_atom_site_fract_z
_atom_site_occupancy
Rb1 Rb 0.0000 0.0000 0.0000 1
Al1 Al 0.0000 0.0000 0.5000 1
Tl1 Tl 0.0000 0.5000 0.0000 1
B1 B 0.5000 0.5000 0.5000 1
```

Results
ΔE_f, kJ/mol of formula units: 1024



# 13
Compound: Ni2IF
Source: Alexandria
Functional: meta-GGA SCAN
Structure: single point on PBEsol structure

Cell and atoms, written as CIF:
```
data_Ni2IF
_chemical_formula_sum 'Ni8 I4 F4'
_cell_length_a 5.9782
_cell_length_b 5.9782
_cell_length_c 5.9782
_cell_angle_alpha 90.00
_cell_angle_beta 90.00
_cell_angle_gamma 90.00
_space_group_name_H-M_alt 'F m -3 m'
_space_group_IT_number 225
_space_group_name_Hall '-F 4 2 3'
loop_
_atom_site_label
_atom_site_type_symbol
_atom_site_fract_x
_atom_site_fract_y
_atom_site_fract_z
_atom_site_occupancy
Ni1 Ni 0.2500 0.2500 0.2500 1
I1 I 0.0000 0.0000 0.0000 1
F1 F 0.0000 0.0000 0.5000 1
```

Results
Calculated total energy, eV/f.u.: -72.6



# 14
Compound: KVSe2
Source: Alexandria
Functional: meta-GGA SCAN
Structure: single point on PBEsol structure

Cell and atoms, written as CIF:
```
data_KVSe2
_chemical_formula_sum 'K4 V4 Se8'
_cell_length_a 7.1228
_cell_length_b 11.8001
_cell_length_c 5.6608
_cell_angle_alpha 90.00
_cell_angle_beta 113.84
_cell_angle_gamma 90.00
_space_group_name_H-M_alt 'C 1 2/c 1'
_space_group_IT_number 15
loop_
_space_group_symop_operation_xyz
'x,y,z'
'-x,-y,-z'
'-x,y,-z+1/2'
'x,-y,z+1/2'
'x+1/2,y+1/2,z'
'-x+1/2,-y+1/2,-z'
'-x+1/2,y+1/2,-z+1/2'
'x+1/2,-y+1/2,z+1/2'
loop_
_atom_site_label
_atom_site_type_symbol
_atom_site_fract_x
_atom_site_fract_y
_atom_site_fract_z
_atom_site_occupancy
K1 K 0.0000 0.1446 0.2500 1
V1 V 0.0000 0.4988 0.7500 1
Se1 Se 0.2058 0.3888 0.1071 1
```

Results
Calculated total energy, eV/f.u.: -70.3



D(E_F) for every record listed, in sequence, given in states/eV per cell: 2.6, 7.9, 1.6, 5.3, 2.7, 3.8, 5.6, 2.8, 0.6, 12.2, 0.0, 6.5, 9.8, 0.4.
Calculated volume for every record listed, in sequence, given in Å³/f.u.: 85.6, 64.4, 87.6, 89.5, 122.0, 106.2, 96.8, 51.3, 106.3, 93.6, 162.9, 221.0, 53.4, 108.8.